1.
{"formula": "ThScSi", "functional": "PBE-GGA", "state": "optimized geometry", "formation_energy_uncorrected_mev_per_atom": -588.0, "polymorph_energy_ev_per_atom": 0.000, "cell": [[-2.849, -1.917, 2.458], [-2.367, -0.835, -3.395], [3.835, -6.938, -0.966]], "species": ["Th", "Th", "Sc", "Sc", "Si", "Si"], "fractional_positions": [[0.750, 0.750, 0.356], [0.250, 0.250, 0.644], [0.250, 0.750, 0.000], [0.750, 0.250, 0.000], [0.250, 0.250, 0.242], [0.750, 0.750, 0.758]]}



2.
{"formula": "InSbO3", "functional": "PBE-GGA", "state": "optimized geometry", "formation_energy_uncorrected_mev_per_atom": -1188.6, "cell": [[3.201, 0.000, 0.000], [-1.601, 5.517, 0.000], [0.000, 0.000, 8.255]], "species": ["In", "In", "Sb", "Sb", "O", "O", "O", "O", "O", "O"], "fractional_positions": [[0.000, 0.000, 0.500], [0.000, 0.000, 0.000], [0.739, 0.477, 0.750], [0.261, 0.523, 0.250], [0.924, 0.848, 0.750], [0.628, 0.256, 0.553], [0.628, 0.256, 0.947], [0.372, 0.744, 0.053], [0.372, 0.744, 0.447], [0.076, 0.152, 0.250]]}